(1)
# UIF2 | the Alexandria database | PBE | optimized geometry
# Calculated volume ... 22.24 A^3/atom
# E_tot ... -6.64 eV/atom
# Formation energy without anion corrections ... -2.49 eV/atom
data_UIF2
_cell_length_a 4.0135
_cell_length_b 7.4464
_cell_length_c 6.2716
_cell_angle_alpha 90.00
_cell_angle_beta 108.33
_cell_angle_gamma 90.00
_space_group_name_H-M_alt 'P 1 21/m 1'
_space_group_IT_number 11
loop_
_space_group_symop_operation_xyz
'x,y,z'
'-x,-y,-z'
'-x,y+1/2,-z'
'x,-y+1/2,z'
loop_
_atom_site_label
_atom_site_fract_x
_atom_site_fract_y
_atom_site_fract_z
_atom_site_occupancy
U1 0.2493 0.2500 0.0152 1
I1 0.4586 0.7500 0.4161 1
F1 0.1963 0.5729 0.8898 1



(2)
# U2IF6 | the Alexandria database | PBE | optimized geometry
# Calculated volume ... 18.21 A^3/atom
# E_tot ... -7.00 eV/atom
# Formation energy without anion corrections ... -3.07 eV/atom
data_U2IF6
_cell_length_a 4.0171
_cell_length_b 8.0357
_cell_length_c 10.1550
_cell_angle_alpha 90.00
_cell_angle_beta 90.00
_cell_angle_gamma 90.00
_space_group_name_H-M_alt 'I m m m'
_space_group_IT_number 71
_space_group_name_Hall '-I 2 2'
loop_
_atom_site_label
_atom_site_fract_x
_atom_site_fract_y
_atom_site_fract_z
_atom_site_occupancy
U1 0.0000 0.0000 0.1941 1
I1 0.0000 0.0000 0.5000 1
F1 0.0000 0.1506 0.0000 1
F2 0.0000 0.3452 0.2875 1



(3)
# UI4F | the Alexandria database | PBE | optimized geometry
# Calculated volume ... 46.71 A^3/atom
# E_tot ... -4.53 eV/atom
# Formation energy without anion corrections ... -1.30 eV/atom
data_UI4F
_cell_length_a 11.1352
_cell_length_b 11.1352
_cell_length_c 4.5205
_cell_angle_alpha 90.00
_cell_angle_beta 90.00
_cell_angle_gamma 90.00
_space_group_name_H-M_alt 'I 4/m'
_space_group_IT_number 87
_space_group_name_Hall '-I 4'
loop_
_atom_site_label
_atom_site_fract_x
_atom_site_fract_y
_atom_site_fract_z
_atom_site_occupancy
U1 0.0000 0.0000 0.0000 1
I1 0.0674 0.7499 0.0000 1
F1 0.0000 0.0000 0.5000 1



(4)
# UIF2 | the Alexandria database | PBE | optimized geometry
# Calculated volume ... 21.12 A^3/atom
# E_tot ... -6.57 eV/atom
# Formation energy without anion corrections ... -2.42 eV/atom
data_UIF2
_cell_length_a 4.1677
_cell_length_b 4.1677
_cell_length_c 16.8448
_cell_angle_alpha 90.00
_cell_angle_beta 90.00
_cell_angle_gamma 120.00
_space_group_name_H-M_alt 'R -3 m'
_space_group_IT_number 166
_space_group_name_Hall '-R 3 2"'
loop_
_atom_site_label
_atom_site_fract_x
_atom_site_fract_y
_atom_site_fract_z
_atom_site_occupancy
U1 0.0000 0.0000 0.0000 1
I1 0.0000 0.0000 0.5000 1
F1 0.0000 0.0000 0.3052 1